A relaxed NiW3 crystal. Source: the Alexandria database, functional PBE.

The structure in POSCAR format:
```
NiW3
1.0
-1.966 1.966 7.742
1.966 -1.966 7.742
1.966 1.966 -7.742
W Ni
6 2
Direct
0.877 0.877 0.000
0.750 0.250 0.500
0.000 0.500 0.500
0.500 0.000 0.500
0.250 0.750 0.500
0.123 0.123 0.000
0.375 0.375 0.000
0.625 0.625 0.000
```

The value obtained for the total magnetization is 0.0 μB per formula unit. Its energy relative to the elements is 0.78 eV per formula unit. The total energy comes out at -10.97 eV per atom. The density comes out at 16.92 Mg/m³.